SrAcSiGe | PBE | relaxed

Properties
ΔE to the lowest computed polymorph ... 234.6 meV per atom
Symmetry ... F-43m (216)
Uncorrected formation energy ... -0.34 eV/atom
Calculated volume ... 114.4 Å³ per cell

Cell and atoms, written as extended XYZ:
```
4
Lattice="-1.853 -5.092 0.570 1.656 -3.901 -3.424 3.336 -3.932 1.758" Properties=species:S:1:pos:R:3 pbc="T T T"
Sr 0.000 0.000 0.000
Si 2.354 -9.693 -0.822
Ge 0.785 -3.231 -0.274
Ac 1.569 -6.462 -0.548
```